No. 1
Computed, not measured: a geometry-optimized TlRe2Rh structure at the GGA-PBE level of DFT.

Cell and atoms, written as POSCAR:
```
TlRe2Rh
1.0
-2.5448 -4.0619 0.1299
4.0597 -2.5479 -0.1385
0.1121 0.0219 2.8817
Tl Re Rh
1 2 1
direct
0.0000 0.0000 0.5000
0.5000 0.0000 0.0000
0.0000 0.5000 0.0000
0.5000 0.5000 0.5000
```

Properties
Formation enthalpy at 0 K: 1019 meV/atom

No. 2
Computed, not measured: a geometry-optimized LaPbCl2 structure at the GGA-PBE level of DFT.

Cell and atoms, written as POSCAR:
```
LaPbCl2
1.0
5.6353 0.0207 0.0000
-1.5968 5.4043 0.0000
0.0000 0.0000 3.5213
Pb Cl La
1 2 1
direct
0.0000 0.5000 0.5000
0.0000 0.0000 0.0000
0.5000 0.5000 0.0000
0.5000 0.0000 0.5000
```

Properties
E_form (uncorrected): -1.01 eV/atom

No. 3
Computed, not measured: a geometry-optimized GdMgHg structure at the GGA-PBE level of DFT.

Cell and atoms, written as POSCAR:
```
GdMgHg
1.0
-3.9257 -0.0002 3.0106
-3.4828 -3.4810 -0.4769
-0.4723 -3.5154 3.4486
Mg Gd Hg
1 1 1
direct
0.5000 0.5000 0.5000
0.0000 0.0000 0.0000
0.2500 0.2500 0.2500
```

Properties
Formation enthalpy at 0 K: -236 meV/atom

No. 4
Computed, not measured: a geometry-optimized NdYTh structure at the GGA-PBE level of DFT.

Cell and atoms, written as POSCAR:
```
NdYTh
1.0
-1.6109 1.6135 2.7975
2.4107 -2.6237 0.5736
6.4837 6.0150 0.2642
Y Nd Th
1 1 1
direct
0.6667 0.3333 0.3437
0.0000 0.0000 0.9923
0.3333 0.6667 0.6640
```

Properties
Formation enthalpy at 0 K: 29 meV/atom

No. 5
Computed, not measured: a geometry-optimized Tb2ZnGe structure at the GGA-PBE level of DFT.

Cell and atoms, written as POSCAR:
```
Tb2ZnGe
1.0
-2.8738 -2.8557 0.6749
1.1572 0.1902 5.7321
-6.0319 5.5717 -2.1086
Tb Zn Ge
4 2 2
direct
0.7500 0.2178 0.4310
0.2500 0.7822 0.5690
0.2500 0.7829 0.0712
0.7500 0.2171 0.9288
0.7500 0.6447 0.2864
0.2500 0.3553 0.7136
0.2500 0.3428 0.2104
0.7500 0.6572 0.7896
```

Properties
Formation enthalpy at 0 K: -606 meV/atom

| no. | E_tot (Ry per atom) | Fermi-level density of states (states/eV/cell) | spin magnetization (μB per atom) |
| --- | --- | --- | --- |
| 1 | -0.5611 | 5.48 | 0.000 |
| 2 | -0.3006 | 2.12 | 0.000 |
| 3 | -0.4088 | 2.76 | 2.648 |
| 4 | -0.4548 | 4.99 | 0.000 |
| 5 | -0.3229 | 9.76 | 0.001 |